MgPaCuO4 (PBE-GGA, optimized geometry); formation energy (no corrections) = -2.529 eV/atom; uncorrected energy = -105.438 eV per cell
1.0
6.4100 0.0000 0.0000
-3.2050 5.3726 -1.1866
0.0000 -3.9542 6.5028
Mg Pa Cu O
2 2 2 8
Direct
0.8963 0.7925 0.1463 Mg
0.1037 0.2075 0.8537 Mg
0.5000 0.0000 0.5000 Pa
0.5000 0.0000 0.0000 Pa
0.5000 0.5000 0.5000 Cu
0.0000 0.5000 0.5000 Cu
0.7503 0.5006 0.7906 O
0.2935 0.0296 0.2648 O
0.7361 0.0296 0.2648 O
0.7503 0.5006 0.2100 O
0.2497 0.4994 0.7900 O
0.7065 0.9704 0.7352 O
0.2639 0.9704 0.7352 O
0.2497 0.4994 0.2094 O

RbTbF4 (PBE-GGA, optimized geometry); formation energy (no corrections) = -3.694 eV/atom; uncorrected energy = -140.979 eV per cell
1.0
-1.5742 -2.7097 1.9061
-0.5126 -3.3941 -5.2484
14.5521 -6.4979 2.7809
Rb Tb F
4 4 16
Direct
0.7500 0.7731 0.8002 Rb
0.2500 0.2269 0.1998 Rb
0.2500 0.7269 0.3002 Rb
0.7500 0.2731 0.6998 Rb
0.7500 0.2492 0.4445 Tb
0.2500 0.7508 0.5555 Tb
0.2500 0.2508 0.9445 Tb
0.7500 0.7492 0.0555 Tb
0.7500 0.8866 0.6245 F
0.2500 0.1134 0.3755 F
0.2500 0.6134 0.1245 F
0.7500 0.3866 0.8755 F
0.7500 0.8693 0.4639 F
0.2500 0.1307 0.5361 F
0.2500 0.6307 0.9639 F
0.7500 0.3693 0.0361 F
0.7500 0.9988 0.9467 F
0.2500 0.0012 0.0533 F
0.2500 0.5012 0.4467 F
0.7500 0.4988 0.5533 F
0.7500 0.8980 0.1804 F
0.2500 0.1020 0.8196 F
0.2500 0.6020 0.6804 F
0.7500 0.3980 0.3196 F

Li2InMo (PBE-GGA, optimized geometry); energy of formation = 0.2724 eV per atom; uncorrected energy = -16.308 eV per cell
1.0
5.8187 0.0138 0.0331
2.9997 4.9859 -0.0331
-3.6869 -3.7739 2.4543
In Li Mo
1 2 1
Direct
0.7500 0.2500 0.5000 In
0.9999 0.9999 0.0000 Li
0.5001 0.5001 0.0000 Li
0.2500 0.7500 0.5000 Mo

PrRe4N8 (PBE-GGA, optimized geometry); formation energy (no corrections) = 0.233 eV/atom; uncorrected energy = -118.140 eV per cell
1.0
-2.8947 3.7796 -3.6711
0.4931 -1.2550 -5.8586
-4.9631 -2.2281 -2.5582
Pr Re N
1 4 8
Direct
0.0000 0.0000 0.0000 Pr
0.5000 0.5000 0.5000 Re
0.5000 0.5000 0.0000 Re
0.0000 0.5000 0.5000 Re
0.5000 0.0000 0.5000 Re
0.7039 0.2692 0.2692 N
0.2692 0.2692 0.7039 N
0.2692 0.7039 0.2692 N
0.2677 0.2677 0.2677 N
0.7323 0.7323 0.7323 N
0.7308 0.7308 0.2961 N
0.7308 0.2961 0.7308 N
0.2961 0.7308 0.7308 N

- The lowest uncorrected energy belongs to which entry?
  RbTbF4